# PmNiPtO6 PBE with a Hubbard U optimized geometry
# Crystal system = trigonal
# Total energy = -6.035 eV/atom
# Fermi-level density of states = 6.0 states/eV/f.u.
data_PmNiPtO6
_chemical_formula_sum 'Pm2 Ni2 Pt2 O12'
_symmetry_space_group_name_H-M 'P 1'
_symmetry_Int_Tables_number 1
_cell_length_a 5.100
_cell_length_b 5.100
_cell_length_c 10.099
_cell_angle_alpha 90.00
_cell_angle_beta 90.00
_cell_angle_gamma 120.00
loop_
_symmetry_equiv_pos_as_xyz
'x,y,z'
loop_
_atom_site_label
_atom_site_type_symbol
_atom_site_fract_x
_atom_site_fract_y
_atom_site_fract_z
Pm1 Pm 0.000 0.000 0.000
Pm2 Pm 0.000 0.000 0.500
Ni1 Ni 0.333 0.667 0.250
Ni2 Ni 0.667 0.333 0.750
Pt1 Pt 0.333 0.667 0.750
Pt2 Pt 0.667 0.333 0.250
O1 O 0.015 0.371 0.145
O2 O 0.015 0.644 0.355
O3 O 0.356 0.371 0.355
O4 O 0.356 0.985 0.145
O5 O 0.371 0.015 0.645
O6 O 0.371 0.356 0.855
O7 O 0.629 0.644 0.145
O8 O 0.629 0.985 0.355
O9 O 0.644 0.015 0.855
O10 O 0.644 0.629 0.645
O11 O 0.985 0.356 0.645
O12 O 0.985 0.629 0.855